VASP calculation (PBE-GGA) on a geometry-optimized Tb5YTl4 structure.

POSCAR file:
```
Tb5YTl4
1.0
8.5230 0.0000 0.0000
0.0000 8.1495 0.0000
0.0000 0.0000 9.3691
Tb Y Tl
10 2 8
Cartesian
2.3136 6.0456 7.5491
2.3136 2.1040 7.5491
7.8280 4.0748 0.0000
2.3136 6.0456 1.8200
2.3136 2.1040 1.8200
6.2094 6.1787 2.8645
6.2094 1.9708 2.8645
0.6950 0.0000 4.6845
6.2094 1.9708 6.5045
6.2094 6.1787 6.5045
5.7638 0.0000 0.0000
2.7592 4.0748 4.6845
8.5086 0.0000 7.8102
4.7944 5.4754 0.0000
4.7944 2.6742 0.0000
8.5086 0.0000 1.5588
0.0144 4.0748 3.1257
3.7286 6.7489 4.6845
3.7286 1.4006 4.6845
0.0144 4.0748 6.2433
```

Values from the calculation:
- Formation energy from the elements: -0.024 eV per atom
- Excess energy over the best structure of this formula in the dataset: 258 meV per atom

---

VASP calculation (PBE-GGA) on a geometry-optimized Co3Ge4 structure.

POSCAR file:
```
Co3Ge4
1.0
-5.2483 0.7967 -2.8333
-1.0277 -5.8235 -1.1130
-3.4871 -0.9742 4.8061
Co Ge
6 8
Cartesian
-4.3677 -0.0888 0.9864
-2.2574 -3.3988 1.8465
-3.1380 -2.5134 -1.9732
-4.8816 -3.0005 0.4299
-8.8116 -5.4161 0.7760
-0.9516 -0.5849 0.0838
-5.0637 -1.0832 -1.2166
-5.5879 -4.0245 -1.7776
-6.9560 -4.2756 0.6126
-4.1752 -1.9765 2.6373
-6.8286 -1.5782 1.2085
-2.8071 -1.7254 0.2472
-4.6994 -4.9178 2.0763
-2.9345 -4.4228 -0.3487
```

Values from the calculation:
- Formation energy from the elements: 0.129 eV per atom
- Excess energy over the best structure of this formula in the dataset: 285 meV per atom

---

VASP calculation (PBE-GGA) on a geometry-optimized Ca2Mg2Cd structure.

POSCAR file:
```
Ca2Mg2Cd
1.0
-2.5415 7.6837 3.1639
-7.8934 -1.1983 -3.4303
-1.2864 -1.9207 3.6312
Ca Mg Cd
4 4 2
Cartesian
-7.5236 1.6239 -1.8064
-7.3295 5.6882 0.4121
-2.9112 4.8614 1.5401
-3.1053 0.7972 -0.6784
-6.0242 -0.6681 0.0639
-9.0717 2.9040 0.8737
-5.6971 5.2328 3.3010
-2.6496 1.6607 2.4912
0.0000 0.0000 0.0000
-5.2174 3.2427 -0.1332
```

Values from the calculation:
- Formation energy from the elements: 0.085 eV per atom
- Excess energy over the best structure of this formula in the dataset: 208 meV per atom

---

VASP calculation (PBE-GGA) on a geometry-optimized NdSmCdRu structure.

POSCAR file:
```
NdSmCdRu
1.0
-3.2275 -2.2793 -3.3302
-2.8480 -4.0371 1.5142
-5.1078 0.5167 0.5875
Ru Nd Sm Cd
1 1 1 1
Cartesian
-8.3875 -4.3498 -0.9213
-5.5917 -2.8999 -0.6142
0.0000 0.0000 0.0000
-2.7958 -1.4499 -0.3071
```

Values from the calculation:
- Formation energy from the elements: -0.185 eV per atom
- Excess energy over the best structure of this formula in the dataset: 86 meV per atom

---

VASP calculation (PBE-GGA) on a geometry-optimized PmDy7Er2 structure.

POSCAR file:
```
PmDy7Er2
1.0
5.6020 0.0000 0.0000
0.0000 9.1161 -0.4836
0.0000 -4.5443 7.9175
Pm Dy Er
1 7 2
Cartesian
0.0000 0.0000 0.0000
0.0000 6.1510 1.3399
0.0000 -1.5792 6.0940
2.8010 -0.7622 2.2816
2.8010 5.3340 5.1523
2.8010 2.3800 0.3491
2.8010 2.1917 7.0847
2.8010 2.2859 3.7169
2.8010 5.0682 2.0058
2.8010 -0.4965 5.4281
```

Values from the calculation:
- Formation energy from the elements: 0.698 eV per atom
- Excess energy over the best structure of this formula in the dataset: 679 meV per atom

---

VASP calculation (PBE-GGA) on a geometry-optimized Ba6Hg2NCl structure.

POSCAR file:
```
Ba6Hg2NCl
1.0
-6.7083 2.9916 3.0445
1.5441 -4.0207 7.3530
5.8219 9.2262 3.8225
Ba Hg N Cl
12 4 2 2
Cartesian
-0.5916 -1.3871 6.0582
-0.8114 4.1402 10.5554
1.2492 9.5843 8.1617
1.4691 4.0570 3.6645
1.5147 2.2354 8.0103
1.1656 8.0994 11.8916
-0.8571 5.9618 6.2096
-0.5079 0.0978 2.3283
-3.8750 2.6895 7.4796
3.0817 4.0060 11.1619
4.5326 5.5076 6.7404
-2.4240 4.1912 3.0581
2.6373 -1.3304 7.8006
1.6703 6.1425 8.7397
-1.9797 9.5276 6.4193
-1.0126 2.0547 5.4803
-0.4432 6.1089 3.4335
0.7720 -2.0103 3.6765
-3.3541 1.4958 1.5223
3.6830 2.6028 5.5877
```

Values from the calculation:
- E_form (uncorrected): -0.710 eV/atom

---

VASP calculation (PBE-GGA) on a geometry-optimized BMoSeN2 structure.

POSCAR file:
```
BMoSeN2
1.0
-1.9324 -0.9932 2.8135
2.9561 -1.0912 1.6452
0.5012 4.0123 1.7607
Mo B Se N
1 1 1 2
Cartesian
0.7625 0.9640 3.1097
0.0000 0.0000 0.0000
0.2506 2.0062 0.8803
1.4781 -0.5456 0.8226
-0.9662 -0.4966 1.4067
```

Values from the calculation:
- E_form (uncorrected): 1.505 eV/atom
- Excess energy over the best structure of this formula in the dataset: 352 meV per atom

---

VASP calculation (PBE-GGA) on a geometry-optimized RbCo2Ru structure.

POSCAR file:
```
RbCo2Ru
1.0
7.3207 0.0000 0.0000
0.0000 7.3207 0.0000
3.6604 3.6604 3.6269
Ru Co Rb
2 4 2
Cartesian
0.0000 0.0000 0.0000
7.3207 3.6604 1.8134
6.3624 1.8302 0.9067
0.9583 5.4905 0.9067
5.4905 4.6187 2.7202
9.1509 10.0228 2.7202
3.6604 3.6604 0.0000
3.6604 7.3207 1.8134
```

Values from the calculation:
- Formation energy from the elements: 1.342 eV per atom
- Excess energy over the best structure of this formula in the dataset: 0 meV per atom

---

VASP calculation (PBE-GGA) on a geometry-optimized Er6Cd3Tc structure.

POSCAR file:
```
Er6Cd3Tc
1.0
5.2562 0.0000 0.0000
0.0000 8.5864 -2.8875
0.0000 -0.0150 11.2745
Er Cd Tc
12 6 2
Cartesian
1.3141 3.9919 -0.3778
3.9422 4.5796 8.7649
1.3141 1.0396 1.4329
3.9422 7.5319 6.9542
1.3141 5.9098 5.5369
3.9422 2.6617 2.8502
1.3141 1.8550 4.9439
3.9422 6.7165 3.4431
1.3141 7.2739 1.2826
3.9422 1.2975 7.1045
1.3141 0.9090 9.3111
3.9422 7.6625 -0.9240
1.3141 4.3845 2.7222
3.9422 4.1869 5.6649
1.3141 3.5038 7.6091
3.9422 5.0676 0.7780
1.3141 6.6082 8.7432
3.9422 1.9632 -0.3561
1.3141 8.2618 3.9636
3.9422 0.3097 4.4235
```

Values from the calculation:
- Formation energy from the elements: -0.204 eV per atom

---

VASP calculation (PBE-GGA) on a geometry-optimized Sm3Zn7Au4 structure.

POSCAR file:
```
Sm3Zn7Au4
1.0
4.3374 0.0000 1.0942
1.5518 7.6433 2.9923
0.1794 0.3849 8.4326
Sm Zn Au
3 7 4
Cartesian
1.6341 1.6285 2.6661
4.4345 6.3997 9.8530
0.8656 4.0141 5.7124
2.8028 6.4420 7.1772
2.5952 1.6939 8.0003
4.4475 3.0097 9.8015
3.2658 1.5861 5.3419
1.6211 5.0184 2.7176
0.0000 0.0000 0.0000
3.4734 6.3343 4.5188
3.6267 3.7454 3.9114
2.4419 4.2828 8.6077
5.2602 7.0858 6.5800
0.8084 0.9424 5.9391
```

Values from the calculation:
- Formation energy from the elements: -0.518 eV per atom

---

VASP calculation (PBE-GGA) on a geometry-optimized TcRhN structure.

POSCAR file:
```
TcRhN
1.0
-5.7153 -0.9466 0.8391
0.5482 -1.1052 2.4874
3.6727 9.1373 3.2504
Tc Rh N
4 4 4
Cartesian
-1.2172 6.1579 3.0044
-2.7795 1.0367 2.6229
0.3634 1.5967 0.6294
2.4739 5.6127 3.4983
1.2354 4.0070 1.5081
3.3459 8.0230 4.3770
0.7968 7.7433 3.2649
-0.7654 2.6220 2.8834
0.7506 5.7845 2.4048
-0.8117 0.6633 2.0233
-3.4691 0.2699 0.8845
-1.3586 4.2859 3.7535
```

Values from the calculation:
- E_form (uncorrected): 0.141 eV/atom
- Excess energy over the best structure of this formula in the dataset: 145 meV per atom

---

VASP calculation (PBE-GGA) on a geometry-optimized Pr2CdPd6 structure.

POSCAR file:
```
Pr2CdPd6
1.0
6.0905 -0.0303 -0.0176
0.0292 5.8482 0.0067
0.0292 2.9195 5.0674
Pr Cd Pd
2 1 6
Cartesian
5.0012 5.8205 3.3685
1.1476 2.9169 1.6881
0.0000 0.0000 0.0000
2.0127 4.4601 4.1688
2.0242 7.2067 4.1707
2.0127 5.8367 1.7902
4.1360 4.2773 0.8877
4.1246 1.5307 0.8858
4.1360 2.9007 3.2664
```

Values from the calculation:
- Formation energy from the elements: -0.633 eV per atom

---

VASP calculation (PBE-GGA) on a geometry-optimized TaAlCoOs structure.

POSCAR file:
```
TaAlCoOs
1.0
4.3265 0.0000 0.0000
2.1632 3.7468 0.0000
2.1632 1.2489 3.5326
Co Os Al Ta
1 1 1 1
Cartesian
2.1632 1.2489 0.8831
6.4897 3.7468 2.6494
4.3265 2.4979 1.7663
0.0000 0.0000 0.0000
```

Values from the calculation:
- Formation energy from the elements: -0.476 eV per atom

---

VASP calculation (PBE-GGA) on a geometry-optimized Nd3Sm3YSe8 structure.

POSCAR file:
```
Nd3Sm3YSe8
1.0
8.3532 0.0000 0.0000
-4.1766 7.2354 -0.0242
0.0000 -4.7991 6.8659
Nd Sm Y Se
3 3 1 8
Cartesian
0.0000 0.0000 0.0000
-2.0883 3.6177 -0.0121
2.0883 3.6177 -0.0121
4.1766 -2.3996 3.4330
2.0883 1.2181 3.4209
-2.0883 1.2181 3.4209
0.0000 -2.3996 3.4330
0.0000 2.4174 1.7371
4.1766 0.0189 5.1046
4.1766 2.4247 1.7411
0.0000 0.0116 5.1007
6.2709 -1.2037 1.7542
-2.0943 3.6400 5.0876
2.0823 -1.2037 1.7542
2.0943 3.6400 5.0876
```

Values from the calculation:
- E_form (uncorrected): -1.874 eV/atom

---

VASP calculation (PBE-GGA) on a geometry-optimized CsRbZnHSe structure.

POSCAR file:
```
CsRbZnHSe
1.0
6.0858 0.0000 0.0842
0.0000 4.1478 0.0000
-5.8845 0.0000 11.7983
Cs Rb Zn H Se
2 2 2 2 2
Cartesian
2.0735 0.0000 2.4506
-0.8687 2.0739 8.3498
-1.0934 0.0000 4.6718
-4.0356 2.0739 10.5709
-0.9821 0.0000 11.7914
1.9602 2.0739 5.8923
0.0985 0.0000 10.5119
3.0408 2.0739 4.6127
2.2425 0.0000 7.3633
5.1847 2.0739 1.4641
```

Values from the calculation:
- Excess energy over the best structure of this formula in the dataset: 20 meV per atom

---

VASP calculation (PBE-GGA) on a geometry-optimized Rb2NpBr6 structure.

POSCAR file:
```
Rb2NpBr6
1.0
-1.0716 -0.8671 -7.4403
-0.8167 -7.4578 0.9868
-14.4873 1.8343 1.8728
Rb Np Br
4 2 12
Cartesian
-4.8398 0.6128 0.6256
-13.0276 -2.6325 -1.6648
-3.3479 -3.8581 -2.9160
-9.6474 1.2215 1.2471
0.0000 0.0000 0.0000
-8.1878 -3.2453 -2.2904
-5.8690 -1.9983 -1.3853
-6.5484 -4.9934 -3.7072
-13.3708 -4.6885 1.0878
-13.5340 -0.4690 -4.3075
-2.8416 -6.0216 -0.2733
-3.0048 -1.8021 -5.6686
-9.8272 -1.4972 -0.8736
-10.5065 -4.4923 -3.1955
-0.4907 -2.1634 -1.6771
-1.3976 -6.1615 -4.7765
-8.1215 -4.9580 -0.1005
-8.2540 -1.5326 -4.4803
```

Values from the calculation:
- E_form (uncorrected): -1.502 eV/atom

---

VASP calculation (PBE-GGA) on a geometry-optimized Mg2NbOs structure.

POSCAR file:
```
Mg2NbOs
1.0
0.0000 3.2258 3.2258
3.2258 0.0000 3.2258
3.2258 3.2258 0.0000
Nb Os Mg
1 1 2
Cartesian
0.0000 0.0000 0.0000
3.2258 3.2258 3.2258
1.6129 1.6129 1.6129
4.8386 4.8386 4.8386
```

Values from the calculation:
- Formation energy from the elements: 0.510 eV per atom
- Excess energy over the best structure of this formula in the dataset: 67 meV per atom

---

VASP calculation (PBE-GGA) on a geometry-optimized Mg2CuSb structure.

POSCAR file:
```
Mg2CuSb
1.0
-2.5870 3.2350 0.3117
-1.1037 -0.5127 -3.8391
-4.2607 -3.3694 -0.3930
Cu Mg Sb
1 2 1
Cartesian
-5.2576 -1.3235 -2.2213
-4.9733 -3.5778 -4.1439
-2.9472 0.4099 -1.0365
-2.8199 -1.9788 -2.8667
```

Values from the calculation:
- E_form (uncorrected): -0.134 eV/atom

---

VASP calculation (PBE-GGA) on a geometry-optimized Zr2AlSe structure.

POSCAR file:
```
Zr2AlSe
1.0
-1.5325 3.4529 -3.1713
2.7274 -2.8113 -2.9976
-2.6362 -1.8121 -0.6991
Se Zr Al
1 2 1
Cartesian
0.0456 -2.3117 -1.8483
0.0000 0.0000 0.0000
0.5975 0.3208 -3.0845
-2.0843 0.8204 -1.9352
```

Values from the calculation:
- E_form (uncorrected): -0.536 eV/atom
- Excess energy over the best structure of this formula in the dataset: 156 meV per atom

---

VASP calculation (PBE-GGA) on a geometry-optimized BaScPd2 structure.

POSCAR file:
```
BaScPd2
1.0
3.4979 0.0000 0.0000
0.0000 3.4979 0.0000
0.0000 0.0000 7.5736
Sc Ba Pd
1 1 2
Cartesian
1.7490 1.7490 0.0000
1.7490 1.7490 3.7868
0.0000 0.0000 6.1415
0.0000 0.0000 1.4321
```

Values from the calculation:
- Formation energy from the elements: -0.640 eV per atom
- Excess energy over the best structure of this formula in the dataset: 0 meV per atom